MnCu2O4 GGA+U relaxed; N(E_F) = 3.2 states/eV per cell; energy above the most stable polymorph in this dataset = 0.00 kJ/mol of atoms; total magnetic moment = 0.71 μB per atom
1.0
-4.905 -2.525 -0.051
0.935 -1.713 -5.160
4.365 -2.545 4.585
O Cu Mn
8 4 2
Direct
0.127 0.353 0.255
0.647 0.873 0.745
0.652 0.377 0.755
0.103 0.377 0.755
0.623 0.897 0.245
0.623 0.348 0.245
0.098 0.873 0.745
0.127 0.902 0.255
0.875 0.125 0.750
0.875 0.125 0.250
0.375 0.125 0.250
0.875 0.625 0.750
0.500 0.500 0.000
0.250 0.750 0.500

=====

Mn2CuO3 GGA+U relaxed; N(E_F) = 0.3 states/eV per cell; uncorrected energy = -40.75 eV per cell; total magnetic moment = 1.67 μB per atom
1.0
-0.723 0.769 -2.876
0.710 -3.524 -1.121
-5.543 -0.062 3.008
Cu O Mn
1 3 2
Direct
0.000 0.000 0.000
0.833 0.833 0.667
0.167 0.167 0.333
0.000 0.500 0.000
0.347 0.347 0.694
0.653 0.653 0.306

=====

MnCu2O GGA+U relaxed; N(E_F) = 3.6 states/eV per cell; uncorrected energy = -42.21 eV per cell; total magnetic moment = 1.15 μB per atom
1.0
-6.589 -2.471 -1.115
2.515 -4.480 -4.936
-1.743 -4.916 -1.569
Mn Cu O
2 4 2
Direct
0.000 0.000 0.000
0.750 0.250 0.500
0.375 0.462 0.750
0.538 0.125 0.250
0.875 0.788 0.750
0.212 0.625 0.250
0.500 0.500 0.000
0.250 0.750 0.500

=====

MnCu2O4 GGA+U relaxed; N(E_F) = 8.0 states/eV per cell; energy above the most stable polymorph in this dataset = 13.17 kJ/mol of atoms; total magnetic moment = 0.46 μB per atom
1.0
5.424 -0.194 0.000
-2.827 4.633 0.000
0.000 0.000 5.764
O Cu Mn
8 4 2
Direct
0.500 0.000 0.250
0.751 0.751 0.000
0.000 0.500 0.750
0.249 0.249 0.500
0.500 0.000 0.750
0.751 0.751 0.500
0.249 0.249 0.000
0.000 0.500 0.250
0.827 0.173 0.000
0.173 0.827 0.000
0.173 0.827 0.500
0.827 0.173 0.500
0.500 0.500 0.750
0.500 0.500 0.250

=====

Mn3CuO GGA+U relaxed; N(E_F) = 3.1 states/eV per cell; uncorrected energy = -26.95 eV per cell; total magnetic moment = 2.78 μB per atom
1.0
-0.705 4.280 1.791
-4.013 -1.471 1.936
2.327 -1.241 3.881
O Mn Cu
1 3 1
Direct
0.500 0.500 0.500
0.500 0.000 0.000
0.000 0.000 0.500
0.000 0.500 0.000
0.000 0.000 0.000

=====

MnCu3O6 GGA+U relaxed; N(E_F) = 4.4 states/eV per cell; uncorrected energy = -56.45 eV per cell; total magnetic moment = 0.16 μB per atom
1.0
2.994 0.000 0.000
0.000 6.005 0.087
0.000 -1.806 5.728
O Cu Mn
6 3 1
Direct
0.500 0.635 0.365
0.500 0.365 0.635
0.000 0.938 0.680
0.000 0.062 0.320
0.000 0.320 0.062
0.000 0.680 0.938
0.500 0.500 0.000
0.000 0.000 0.000
0.500 0.000 0.500
0.000 0.500 0.500

=====

What is the N(E_F) in the second record? 0.3 states/eV per cell

=====

total magnetic moment of number 6 (MnCu3O6)? 0.16 μB per atom

=====

N(E_F) of number 5 (Mn3CuO)? 3.1 states/eV per cell

=====

What is the N(E_F) in the third record? 3.6 states/eV per cell